# Tb3Si3Pd2 | Alexandria via LeMat-Bulk | PBE | optimized geometry
# Formation energy from raw total energies in eV per atom: -0.946
# Final energy in eV/atom: -6.015
# M_tot in μB/cell: 0.00
data_Tb3Si3Pd2
_symmetry_space_group_name_H-M 'C m c m'
_symmetry_Int_Tables_number 63
_symmetry_space_group_name_Hall '-C 2c 2'
_cell_length_a 4.272
_cell_length_b 10.486
_cell_length_c 14.196
_cell_angle_alpha 90.00
_cell_angle_beta 90.00
_cell_angle_gamma 90.00
loop_
_atom_site_label
_atom_site_fract_x
_atom_site_fract_y
_atom_site_fract_z
_atom_site_occupancy
Tb1 0.000 0.087 0.111 1
Tb2 0.000 0.365 0.250 1
Si1 0.000 0.339 0.750 1
Si2 0.000 0.395 0.039 1
Pd1 0.000 0.205 0.594 1


# Tb3Si3Pd | Alexandria via LeMat-Bulk | PBE | optimized geometry
# Formation energy from raw total energies in eV per atom: -0.902
# Final energy in eV/atom: -5.952
# M_tot in μB/cell: 0.00
data_Tb3Si3Pd
_symmetry_space_group_name_H-M 'C 1 2/m 1'
_symmetry_Int_Tables_number 12
_cell_length_a 10.567
_cell_length_b 4.274
_cell_length_c 13.711
_cell_angle_alpha 90.00
_cell_angle_beta 110.26
_cell_angle_gamma 90.00
loop_
_symmetry_equiv_pos_as_xyz
'x,y,z'
'-x,-y,-z'
'-x,y,-z'
'x,-y,z'
'x+1/2,y+1/2,z'
'-x+1/2,-y+1/2,-z'
'-x+1/2,y+1/2,-z'
'x+1/2,-y+1/2,z'
loop_
_atom_site_label
_atom_site_fract_x
_atom_site_fract_y
_atom_site_fract_z
_atom_site_occupancy
Tb1 0.027 0.000 0.377 1
Tb2 0.104 0.000 0.923 1
Tb3 0.243 0.000 0.226 1
Si1 0.038 0.500 0.230 1
Si2 0.111 0.500 0.075 1
Si3 0.123 0.500 0.545 1
Pd1 0.245 0.500 0.403 1


# Tb3Si4Pd2 | Alexandria via LeMat-Bulk | PBE | optimized geometry
# Formation energy from raw total energies in eV per atom: -0.888
# Final energy in eV/atom: -5.995
# M_tot in μB/cell: 0.00
data_Tb3Si4Pd2
_symmetry_space_group_name_H-M 'C 1 2/m 1'
_symmetry_Int_Tables_number 12
_cell_length_a 10.427
_cell_length_b 4.238
_cell_length_c 8.232
_cell_angle_alpha 90.00
_cell_angle_beta 107.01
_cell_angle_gamma 90.00
loop_
_symmetry_equiv_pos_as_xyz
'x,y,z'
'-x,-y,-z'
'-x,y,-z'
'x,-y,z'
'x+1/2,y+1/2,z'
'-x+1/2,-y+1/2,-z'
'-x+1/2,y+1/2,-z'
'x+1/2,-y+1/2,z'
loop_
_atom_site_label
_atom_site_fract_x
_atom_site_fract_y
_atom_site_fract_z
_atom_site_occupancy
Tb1 0.000 0.000 0.000 1
Tb2 0.134 0.500 0.691 1
Si1 0.084 0.000 0.419 1
Si2 0.223 0.500 0.062 1
Pd1 0.162 0.500 0.326 1


# TbSiPd | Alexandria via LeMat-Bulk | PBE | optimized geometry
# Formation energy from raw total energies in eV per atom: -0.973
# Final energy in eV/atom: -6.055
# M_tot in μB/cell: 0.00
data_TbSiPd
_symmetry_space_group_name_H-M 'P n m a'
_symmetry_Int_Tables_number 62
_cell_length_a 7.053
_cell_length_b 4.329
_cell_length_c 7.508
_cell_angle_alpha 90.00
_cell_angle_beta 90.00
_cell_angle_gamma 90.00
loop_
_symmetry_equiv_pos_as_xyz
'x,y,z'
'-x,-y,-z'
'-x+1/2,-y,z+1/2'
'x+1/2,y,-z+1/2'
'x+1/2,-y+1/2,-z+1/2'
'-x+1/2,y+1/2,z+1/2'
'-x,y+1/2,-z'
'x,-y+1/2,z'
loop_
_atom_site_label
_atom_site_fract_x
_atom_site_fract_y
_atom_site_fract_z
_atom_site_occupancy
Tb1 0.002 0.250 0.202 1
Si1 0.197 0.250 0.590 1
Pd1 0.191 0.750 0.418 1


# TbSi3Pd | Alexandria via LeMat-Bulk | PBE | optimized geometry
# Formation energy from raw total energies in eV per atom: -0.552
# Final energy in eV/atom: -5.771
# M_tot in μB/cell: 0.00
data_TbSi3Pd
_symmetry_space_group_name_H-M 'P 1 21/m 1'
_symmetry_Int_Tables_number 11
_cell_length_a 5.540
_cell_length_b 5.564
_cell_length_c 5.752
_cell_angle_alpha 90.00
_cell_angle_beta 99.35
_cell_angle_gamma 90.00
loop_
_symmetry_equiv_pos_as_xyz
'x,y,z'
'-x,-y,-z'
'-x,y+1/2,-z'
'x,-y+1/2,z'
loop_
_atom_site_label
_atom_site_fract_x
_atom_site_fract_y
_atom_site_fract_z
_atom_site_occupancy
Tb1 0.185 0.250 0.162 1
Si1 0.309 0.524 0.727 1
Si2 0.346 0.750 0.111 1
Pd1 0.043 0.750 0.392 1


# Tb3Si2Pd6 | Alexandria via LeMat-Bulk | PBE | optimized geometry
# Formation energy from raw total energies in eV per atom: -0.859
# Final energy in eV/atom: -5.941
# M_tot in μB/cell: 0.00
data_Tb3Si2Pd6
_symmetry_space_group_name_H-M 'I m -3 m'
_symmetry_Int_Tables_number 229
_symmetry_space_group_name_Hall '-I 4 2 3'
_cell_length_a 9.378
_cell_length_b 9.378
_cell_length_c 9.378
_cell_angle_alpha 90.00
_cell_angle_beta 90.00
_cell_angle_gamma 90.00
loop_
_atom_site_label
_atom_site_fract_x
_atom_site_fract_y
_atom_site_fract_z
_atom_site_occupancy
Tb1 0.000 0.000 0.287 1
Si1 0.250 0.250 0.250 1
Pd1 0.000 0.323 0.323 1


Look up the M_tot of the second one.
0.00 μB/cell